NaPuPa2Se4: optimized geometry, PBE-GGA.

Results
- Fermi-level density of states: 2.1927 states/eV/atom
- Volume: 196.7 Å³ per cell
- Calculated total energy: -58.88 eV per cell
- Spin magnetization: 7.70 μB per cell
- Formation energy from raw total energies: -1287 meV per atom

```
data_NaPuPa2Se4
_cell_length_a 7.015
_cell_length_b 4.043
_cell_length_c 7.320
_cell_angle_alpha 90.00
_cell_angle_beta 108.64
_cell_angle_gamma 90.00
_space_group_name_H-M_alt 'P 1 2/m 1'
_space_group_IT_number 10
loop_
_space_group_symop_operation_xyz
'x,y,z'
'-x,-y,-z'
'-x,y,-z'
'x,-y,z'
loop_
_atom_site_label
_atom_site_fract_x
_atom_site_fract_y
_atom_site_fract_z
Na1 0.000 0.000 0.000
Pu1 0.500 0.500 0.000
Pa1 0.000 0.500 0.500
Pa2 0.500 0.000 0.500
Se1 0.247 0.000 0.751
Se2 0.248 0.500 0.251
```



Na3Pu2PaSe6: optimized geometry, PBE-GGA.

Results
- Fermi-level density of states: 2.1996 states/eV/atom
- Volume: 640.5 Å³ per cell
- Calculated total energy: -159.69 eV per cell
- Spin magnetization: 24.00 μB per cell
- Formation energy from raw total energies: -1402 meV per atom

```
data_Na3Pu2PaSe6
_cell_length_a 7.280
_cell_length_b 12.611
_cell_length_c 7.387
_cell_angle_alpha 90.00
_cell_angle_beta 109.18
_cell_angle_gamma 90.00
_space_group_name_H-M_alt 'C 1 2/m 1'
_space_group_IT_number 12
loop_
_space_group_symop_operation_xyz
'x,y,z'
'-x,-y,-z'
'-x,y,-z'
'x,-y,z'
'x+1/2,y+1/2,z'
'-x+1/2,-y+1/2,-z'
'-x+1/2,y+1/2,-z'
'x+1/2,-y+1/2,z'
loop_
_atom_site_label
_atom_site_fract_x
_atom_site_fract_y
_atom_site_fract_z
Na1 0.000 0.000 0.000
Na2 0.000 0.332 0.000
Pu1 0.000 0.167 0.500
Pa1 0.000 0.500 0.500
Se1 0.240 0.338 0.733
Se2 0.248 0.500 0.269
```



Na2PuPaTe4: optimized geometry, PBE-GGA.

Results
- Fermi-level density of states: 2.1103 states/eV/atom
- Volume: 259.9 Å³ per cell
- Calculated total energy: -46.79 eV per cell
- Spin magnetization: 7.00 μB per cell
- Formation energy from raw total energies: -970 meV per atom

```
data_Na2PuPaTe4
_cell_length_a 7.723
_cell_length_b 4.427
_cell_length_c 8.013
_cell_angle_alpha 90.00
_cell_angle_beta 108.41
_cell_angle_gamma 90.00
_space_group_name_H-M_alt 'P 1 2/m 1'
_space_group_IT_number 10
loop_
_space_group_symop_operation_xyz
'x,y,z'
'-x,-y,-z'
'-x,y,-z'
'x,-y,z'
loop_
_atom_site_label
_atom_site_fract_x
_atom_site_fract_y
_atom_site_fract_z
Na1 0.000 0.000 0.000
Na2 0.500 0.500 0.000
Pu1 0.000 0.500 0.500
Pa1 0.500 0.000 0.500
Te1 0.252 0.000 0.736
Te2 0.259 0.500 0.263
```



RbNaPaS3: optimized geometry, PBE-GGA.

Results
- Fermi-level density of states: 0.8135 states/eV/atom
- Volume: 358.3 Å³ per cell
- Calculated total energy: -65.51 eV per cell
- Spin magnetization: 2.01 μB per cell
- Formation energy from raw total energies: -1432 meV per atom

```
data_RbNaPaS3
_cell_length_a 8.186
_cell_length_b 4.162
_cell_length_c 10.805
_cell_angle_alpha 90.00
_cell_angle_beta 103.22
_cell_angle_gamma 90.00
_space_group_name_H-M_alt 'P 1 21/m 1'
_space_group_IT_number 11
loop_
_space_group_symop_operation_xyz
'x,y,z'
'-x,-y,-z'
'-x,y+1/2,-z'
'x,-y+1/2,z'
loop_
_atom_site_label
_atom_site_fract_x
_atom_site_fract_y
_atom_site_fract_z
Rb1 0.113 0.250 0.171
Na1 0.178 0.750 0.540
Pa1 0.387 0.250 0.836
S1 0.084 0.250 0.682
S2 0.304 0.750 0.985
S3 0.489 0.750 0.711
```



Rb2Na2PaS4: optimized geometry, PBE-GGA.

Results
- Fermi-level density of states: 0.4955 states/eV/atom
- Volume: 515.8 Å³ per cell
- Calculated total energy: -84.36 eV per cell
- Spin magnetization: 2.00 μB per cell
- Formation energy from raw total energies: -1289 meV per atom

```
data_Rb2Na2PaS4
_cell_length_a 16.077
_cell_length_b 4.313
_cell_length_c 8.110
_cell_angle_alpha 90.00
_cell_angle_beta 113.46
_cell_angle_gamma 90.00
_space_group_name_H-M_alt 'C 1 2/m 1'
_space_group_IT_number 12
loop_
_space_group_symop_operation_xyz
'x,y,z'
'-x,-y,-z'
'-x,y,-z'
'x,-y,z'
'x+1/2,y+1/2,z'
'-x+1/2,-y+1/2,-z'
'-x+1/2,y+1/2,-z'
'x+1/2,-y+1/2,z'
loop_
_atom_site_label
_atom_site_fract_x
_atom_site_fract_y
_atom_site_fract_z
Rb1 0.142 0.000 0.047
Na1 0.178 0.500 0.470
Pa1 0.000 0.000 0.500
S1 0.000 0.500 0.277
S2 0.187 0.000 0.672
```



RbNa2PaS4: optimized geometry, PBE-GGA.

Results
- Fermi-level density of states: 0.0000 states/eV/atom
- Volume: 490.6 Å³ per cell
- Calculated total energy: -79.43 eV per cell
- Spin magnetization: 0.00 μB per cell
- Formation energy from raw total energies: -1263 meV per atom

```
data_RbNa2PaS4
_cell_length_a 7.448
_cell_length_b 7.448
_cell_length_c 8.844
_cell_angle_alpha 90.00
_cell_angle_beta 90.00
_cell_angle_gamma 90.00
_space_group_name_H-M_alt 'I -4 2 m'
_space_group_IT_number 121
_space_group_name_Hall 'I -4 2'
loop_
_atom_site_label
_atom_site_fract_x
_atom_site_fract_y
_atom_site_fract_z
Rb1 0.000 0.000 0.000
Na1 0.000 0.500 0.250
Pa1 0.000 0.000 0.500
S1 0.201 0.201 0.656
```



RbNa3Pa4S12: optimized geometry, PBE-GGA.

Results
- Volume: 1059.3 Å³ per cell
- Calculated total energy: -244.34 eV per cell
- Spin magnetization: 0.00 μB per cell
- Formation energy from raw total energies: -1487 meV per atom

```
data_RbNa3Pa4S12
_cell_length_a 10.194
_cell_length_b 10.194
_cell_length_c 10.194
_cell_angle_alpha 90.00
_cell_angle_beta 90.00
_cell_angle_gamma 90.00
_space_group_name_H-M_alt 'I m -3'
_space_group_IT_number 204
_space_group_name_Hall '-I 2 2 3'
loop_
_atom_site_label
_atom_site_fract_x
_atom_site_fract_y
_atom_site_fract_z
Rb1 0.000 0.000 0.000
Na1 0.000 0.000 0.500
Pa1 0.250 0.250 0.250
S1 0.000 0.198 0.294
```



Rb4NaPa3S8: optimized geometry, PBE-GGA.

Results
- Fermi-level density of states: 1.0533 states/eV/atom
- Volume: 1364.8 Å³ per cell
- Calculated total energy: -270.30 eV per cell
- Spin magnetization: 12.04 μB per cell
- Formation energy from raw total energies: -1463 meV per atom

```
data_Rb4NaPa3S8
_cell_length_a 8.2590
_cell_length_b 8.2590
_cell_length_c 23.1016
_cell_angle_alpha 90.00
_cell_angle_beta 90.00
_cell_angle_gamma 120.00
_space_group_name_H-M_alt 'R -3 m'
_space_group_IT_number 166
_space_group_name_Hall '-R 3 2"'
loop_
_atom_site_label
_atom_site_fract_x
_atom_site_fract_y
_atom_site_fract_z
Rb1 0.0000 0.0000 0.0000
Rb2 0.0000 0.5000 0.0000
Na1 0.0000 0.0000 0.5000
Pa1 0.0000 0.5000 0.5000
S1 0.0000 0.0000 0.2308
S2 0.0186 0.5093 0.7689
```



RbNaPaSe3: optimized geometry, PBE-GGA.

Results
- Fermi-level density of states: 0.9086 states/eV/atom
- Volume: 405.6 Å³ per cell
- Calculated total energy: -60.09 eV per cell
- Spin magnetization: 2.01 μB per cell
- Formation energy from raw total energies: -1302 meV per atom

```
data_RbNaPaSe3
_cell_length_a 8.553
_cell_length_b 4.319
_cell_length_c 11.289
_cell_angle_alpha 90.00
_cell_angle_beta 103.47
_cell_angle_gamma 90.00
_space_group_name_H-M_alt 'P 1 21/m 1'
_space_group_IT_number 11
loop_
_space_group_symop_operation_xyz
'x,y,z'
'-x,-y,-z'
'-x,y+1/2,-z'
'x,-y+1/2,z'
loop_
_atom_site_label
_atom_site_fract_x
_atom_site_fract_y
_atom_site_fract_z
Rb1 0.114 0.250 0.170
Na1 0.177 0.750 0.543
Pa1 0.385 0.250 0.836
Se1 0.079 0.250 0.683
Se2 0.301 0.750 0.987
Se3 0.490 0.750 0.709
```



Rb2NaPaTe4: optimized geometry, PBE-GGA.

Results
- Volume: 316.7 Å³ per cell
- Calculated total energy: -33.21 eV per cell
- Spin magnetization: 0.00 μB per cell
- Formation energy from raw total energies: -987 meV per atom

```
data_Rb2NaPaTe4
_cell_length_a 8.079
_cell_length_b 4.673
_cell_length_c 8.795
_cell_angle_alpha 90.00
_cell_angle_beta 107.52
_cell_angle_gamma 90.00
_space_group_name_H-M_alt 'P 1 2/m 1'
_space_group_IT_number 10
loop_
_space_group_symop_operation_xyz
'x,y,z'
'-x,-y,-z'
'-x,y,-z'
'x,-y,z'
loop_
_atom_site_label
_atom_site_fract_x
_atom_site_fract_y
_atom_site_fract_z
Rb1 0.000 0.000 0.000
Rb2 0.500 0.500 0.000
Na1 0.000 0.500 0.500
Pa1 0.500 0.000 0.500
Te1 0.263 0.000 0.698
Te2 0.288 0.500 0.305
```